The following is a DFT calculation (GGA-PBE) of an optimized crystal structure of TmTlAgSn.

For the total energy, the calculation gives -14.324 eV per formula unit. The formation enthalpy at 0 K comes out at -0.1579 eV/atom. The density of states at the Fermi level comes out at 0.4885 states/eV per atom.

It has space group F-43m (No. 216), with a = 7.2963 Å, b = 7.2963 Å, c = 7.2963 Å, α = 90.00°, β = 90.00° and γ = 90.00°. The inequivalent atoms are Tm at (0.0000, 0.0000, 0.0000), Tl at (0.2500, 0.2500, 0.7500), Ag at (0.0000, 0.0000, 0.5000) and Sn at (0.2500, 0.2500, 0.2500).